# 1
# Ce3Si2Ni3

Ce3Si2Ni3 after structural relaxation (PBE-GGA, the Alexandria database).

Output
E (eV per atom): -6.351
DOS at the Fermi energy (states/eV/atom): 1.557
Total moment (μB/f.u.): 0.39
E_form (uncorrected) (eV/atom): -0.60

Structure (POSCAR):
```
Ce3Si2Ni3
1.0
-0.2467 2.3535 3.3581
3.4668 -4.3043 0.7585
10.5602 7.6922 -4.6150
Ce Si Ni
6 4 6
direct
0.9168 0.8335 0.3948
0.0832 0.1665 0.6052
0.0832 0.1665 0.8948
0.9168 0.8335 0.1052
0.6222 0.2445 0.2500
0.3778 0.7555 0.7500
0.2078 0.4156 0.4035
0.2078 0.4156 0.0965
0.7922 0.5844 0.5965
0.7922 0.5844 0.9035
0.3780 0.7559 0.5376
0.3216 0.6433 0.2500
0.3780 0.7559 0.9624
0.6784 0.3567 0.7500
0.6220 0.2441 0.4624
0.6220 0.2441 0.0376
```

=====

# 2
# Nb3InRh

Nb3InRh after structural relaxation (PBE-GGA, the Alexandria database).

Output
Offset from the most stable computed form (meV per atom): 0
E (eV per atom): -7.257
Formation enthalpy at 0 K (eV/atom): 0.80
DOS at the Fermi energy (states/eV/atom): 1.185
Total moment (μB/f.u.): 0.00

Structure (POSCAR):
```
Nb3InRh
1.0
-1.7956 1.9752 -4.0386
-0.2258 -4.3829 -2.0433
-4.4901 -0.5695 1.7178
Nb Rh In
3 1 1
direct
0.0000 0.5000 0.0000
0.5000 0.0000 0.0000
0.0000 0.0000 0.5000
0.0000 0.0000 0.0000
0.5000 0.5000 0.5000
```

=====

# 3
# HfBi3Te

HfBi3Te after structural relaxation (PBE-GGA, the Alexandria database).

Output
Offset from the most stable computed form (meV per atom): 747
E (eV per atom): -3.830
DOS at the Fermi energy (states/eV/atom): 1.607
Total moment (μB/f.u.): 0.00
E_form (uncorrected) (eV/atom): 1.12

Structure (POSCAR):
```
HfBi3Te
1.0
-2.5281 -4.9195 -1.5311
5.1431 -2.5115 -0.4224
-0.3079 -1.5582 5.5149
Bi Hf Te
3 1 1
direct
0.0000 0.5000 0.0000
0.0000 0.0000 0.5000
0.5000 0.0000 0.0000
0.5000 0.5000 0.5000
0.0000 0.0000 0.0000
```